A plane-wave DFT calculation with PBE was carried out for crystalline BaCe2PtS5 at its relaxed geometry.

## Properties
- Formation energy (no corrections): -1.625 eV/atom
- Total energy: -6.12 eV/atom
- Space-group type: No. 140

POSCAR file:
```
BaCe2PtS5
1.0
-6.034 0.889 4.796
4.639 -1.312 6.080
2.034 6.945 -5.004
Ba Ce Pt S
2 4 2 10
direct
0.250 0.250 0.500
0.750 0.750 0.500
0.162 0.338 0.000
0.662 0.162 0.000
0.338 0.838 0.000
0.838 0.662 0.000
0.250 0.750 0.500
0.750 0.250 0.500
0.976 0.476 0.252
0.725 0.225 0.748
0.024 0.524 0.748
0.225 0.024 0.748
0.524 0.725 0.748
0.775 0.976 0.252
0.476 0.275 0.252
0.275 0.775 0.252
0.500 0.500 0.000
0.000 0.000 0.000
```



A plane-wave DFT calculation with PBE was carried out for crystalline BaCeSb2Pt2 at its relaxed geometry.

## Properties
- Formation energy (no corrections): -1.046 eV/atom
- Total energy: -5.74 eV/atom
- Space-group type: No. 164

POSCAR file:
```
BaCeSb2Pt2
1.0
-2.467 0.063 -3.874
4.247 -1.750 -0.010
-3.309 -8.043 1.976
Ba Ce Sb Pt
1 1 2 2
direct
0.000 0.000 0.000
0.000 0.000 0.500
0.667 0.333 0.265
0.333 0.667 0.735
0.667 0.333 0.693
0.333 0.667 0.307
```



A plane-wave DFT calculation with PBE was carried out for crystalline Ba2CeSn3Pt4 at its relaxed geometry.

## Properties
- Energy relative to the elements: -832 meV/atom
- Total energy: -5.43 eV/atom
- Space-group type: No. 115

POSCAR file:
```
Ba2CeSn3Pt4
1.0
-2.701 -0.240 3.992
-3.820 -1.269 -2.661
2.711 -10.665 1.195
Ba Ce Sn Pt
2 1 3 4
direct
0.500 0.000 0.230
0.000 0.500 0.770
0.500 0.500 0.500
0.000 0.000 0.500
0.500 0.000 0.883
0.000 0.500 0.117
0.500 0.500 0.000
0.000 0.000 0.000
0.500 0.000 0.637
0.000 0.500 0.363
```



Q: Which value of total energy does entry 3 give?
A: -5.43 eV/atom



Q: total energy of number 2 (BaCeSb2Pt2)?
A: -5.74 eV/atom